1.
An optimized crystal structure of Ba3P2Pd2. Source: Alexandria, functional PBE-GGA.

Calculated values
* symmetry: Immm
* DFT formation energy: -82.1 kJ per mole of atoms
* size of the total moment: 0.00 μB/cell

Cell lengths 4.718, 4.480, 9.968 Å; angles 102.99, 103.69, 90.00 degrees
Fractional coordinates of all 7 atoms:
Pd1 0.577 0.577 0.155
Pd2 0.423 0.423 0.845
P1 0.369 0.869 0.738
P2 0.631 0.131 0.262
Ba1 0.815 0.315 0.629
Ba2 0.185 0.685 0.371
Ba3 0.000 0.000 0.000



2.
An optimized crystal structure of Ba4PPd. Source: Alexandria, functional PBE-GGA.

Calculated values
* symmetry: C2/m
* DFT formation energy: -56.6 kJ per mole of atoms
* size of the total moment: 0.00 μB/cell
* relative energy among the computed polymorphs: 2 meV per atom

Cell lengths 4.639, 9.158, 8.183 Å; angles 116.98, 90.00, 104.67 degrees
Fractional coordinates of all 6 atoms:
Pd1 0.000 0.000 0.000
Ba1 0.389 0.777 0.063
Ba2 0.611 0.223 0.937
Ba3 0.892 0.783 0.558
Ba4 0.108 0.217 0.442
P1 0.500 0.000 0.500



3.
An optimized crystal structure of BaP3Pd5. Source: Alexandria, functional PBE-GGA.

Calculated values
* symmetry: Cmcm
* DFT formation energy: -64.0 kJ per mole of atoms
* size of the total moment: 0.00 μB/cell

Cell lengths 3.914, 6.687, 12.830 Å; angles 90.00, 90.00, 107.02 degrees
Fractional coordinates of all 18 atoms:
P1 0.614 0.227 0.036
P2 0.614 0.227 0.464
P3 0.125 0.250 0.750
P4 0.386 0.773 0.964
P5 0.875 0.750 0.250
P6 0.386 0.773 0.536
Pd1 0.439 0.877 0.146
Pd2 0.000 0.000 0.000
Pd3 0.209 0.417 0.573
Pd4 0.561 0.123 0.854
Pd5 0.791 0.583 0.073
Pd6 0.000 0.000 0.500
Pd7 0.791 0.583 0.427
Pd8 0.439 0.877 0.354
Pd9 0.561 0.123 0.646
Pd10 0.209 0.417 0.927
Ba1 0.151 0.301 0.250
Ba2 0.849 0.699 0.750